# Pm3Ga4Ni2

A relaxed Pm3Ga4Ni2 crystal (PBE, the Alexandria database).

## Properties
density of states at the Fermi level = 0.78 states/eV/atom
DFT total energy = -4.794 eV/atom
E_form = -0.58 eV/atom
offset from the most stable computed form = 21 meV per atom
volume = 20.69 Å³/atom
crystal system = monoclinic

Unit cell a=5.8277 b=5.8277 c=8.2226 alpha=104.39 beta=104.39 gamma=43.79
Last column: nearest neighbours and their distance in Å.
Element x y z (fractional)
Pm (0.0000, 0.0000, 0.0000)  8 Ga 3.15-3.29
Pm (0.3826, 0.3826, 0.3073)  4 Ni 2.99-3.22, 8 Ga 3.08-3.30
Pm (0.6174, 0.6174, 0.6927)  4 Ni 2.99-3.22, 8 Ga 3.08-3.30
Ga (0.1067, 0.1067, 0.4080)  3 Ni 2.41-2.48
Ga (0.2816, 0.2816, 0.9194)  1 Ni 2.44, 2 Ga 2.73
Ga (0.7184, 0.7184, 0.0806)  1 Ni 2.44, 2 Ga 2.73
Ga (0.8933, 0.8933, 0.5920)  3 Ni 2.41-2.48
Ni (0.3113, 0.3113, 0.6349)  4 Ga 2.41-2.48
Ni (0.6887, 0.6887, 0.3651)  4 Ga 2.41-2.48